Entry from Alexandria via LeMat-Bulk: a relaxed Mn3CrN crystal (PBE-GGA).

Computed properties:
space group = Pm-3m
crystal system = cubic
energy above the lowest structure with this stoichiometry = 2.5106 eV/atom

Cell and atoms, written as extended XYZ:
```
5
Lattice="4.118 0.000 0.000 0.000 4.118 0.000 0.000 0.000 4.118" Properties=species:S:1:pos:R:3 pbc="T T T"
Cr 0.000 0.000 0.000
Mn 0.000 2.059 0.000
Mn 0.000 0.000 2.059
Mn 2.059 0.000 0.000
N 2.059 2.059 2.059
```

Entry from Alexandria via LeMat-Bulk: a relaxed MnCrN crystal (PBE-GGA).

Computed properties:
space group = P3m1
crystal system = trigonal
energy above the lowest structure with this stoichiometry = 0.5087 eV/atom

Cell and atoms, written as extended XYZ:
```
3
Lattice="-1.211 1.882 -1.468 -0.100 -2.150 -2.674 -2.600 0.075 2.240" Properties=species:S:1:pos:R:3 pbc="T T T"
Cr -2.572 0.585 -0.374
Mn -0.202 0.314 -0.245
N -1.136 -1.092 -1.282
```

Entry from Alexandria via LeMat-Bulk: a relaxed MnCrN2 crystal (PBE-GGA).

Computed properties:
space group = R3m
crystal system = trigonal
energy above the lowest structure with this stoichiometry = 0.1617 eV/atom

Cell and atoms, written as extended XYZ:
```
4
Lattice="2.744 0.000 0.000 1.372 2.376 0.000 1.372 0.792 5.111" Properties=species:S:1:pos:R:3 pbc="T T T"
Mn 2.744 1.584 2.485
Cr 4.116 2.376 5.079
N 1.372 0.792 3.900
N 1.372 0.792 1.314
```

Entry from Alexandria via LeMat-Bulk: a relaxed MnCrN2 crystal (PBE-GGA).

Computed properties:
space group = I-42d
crystal system = tetragonal
energy above the lowest structure with this stoichiometry = 0.0000 eV/atom

Cell and atoms, written as extended XYZ:
```
8
Lattice="-4.098 1.047 -1.015 -0.162 -3.335 -2.788 -3.581 -3.735 1.283" Properties=species:S:1:pos:R:3 pbc="T T T"
Cr -2.130 -1.144 -1.901
Cr -2.936 -4.107 -1.703
Mn 0.000 0.000 0.000
Mn -4.904 -1.916 -0.817
N -3.476 -0.696 -0.662
N -1.509 -2.887 -1.549
N -4.283 -3.660 -0.464
N -6.413 -4.803 -2.365
```

Entry from Alexandria via LeMat-Bulk: a relaxed MnCrN2 crystal (PBE-GGA).

Computed properties:
space group = Cm
crystal system = monoclinic
energy above the lowest structure with this stoichiometry = 0.0569 eV/atom

Cell and atoms, written as extended XYZ:
```
4
Lattice="-2.613 -0.788 -0.296 -0.721 -3.757 3.708 1.045 -8.208 12.827" Properties=species:S:1:pos:R:3 pbc="T T T"
Mn -0.455 -3.509 3.863
Cr -2.890 -5.662 5.696
N -2.628 -7.714 8.903
N 0.152 -8.274 11.312
```

Entry from Alexandria via LeMat-Bulk: a relaxed MnCrN3 crystal (PBE-GGA).

Computed properties:
space group = Pm-3m
crystal system = cubic

Cell and atoms, written as extended XYZ:
```
5
Lattice="-3.454 -1.298 -0.085 1.214 -3.304 1.109 -0.466 1.010 3.519" Properties=species:S:1:pos:R:3 pbc="T T T"
Cr 0.000 0.000 0.000
Mn -1.353 -1.796 2.272
N 0.607 -1.652 0.555
N -0.233 0.505 1.759
N -1.727 -0.649 -0.042
```

Entry from Alexandria via LeMat-Bulk: a relaxed Mn3Cr2N4 crystal (PBE-GGA).

Computed properties:
space group = C2/c
crystal system = monoclinic

Cell and atoms, written as extended XYZ:
```
18
Lattice="-5.641 1.925 -1.550 -2.204 -2.025 -5.382 -2.412 -4.270 2.237" Properties=species:S:1:pos:R:3 pbc="T T T"
Mn -7.836 -1.620 -4.315
Mn -1.867 0.134 -0.771
Mn -2.422 -2.750 -0.379
Mn -8.390 -4.504 -3.923
Mn -3.935 -1.796 -3.565
Mn -6.322 -2.573 -1.129
Cr -5.997 -0.050 -3.732
Cr -4.052 -1.038 -0.969
Cr -4.260 -4.319 -0.963
Cr -6.206 -3.332 -3.726
N -1.857 -1.885 -3.596
N -4.771 -3.135 -4.921
N -8.401 -2.484 -1.099
N -5.487 -1.235 0.226
N -6.541 -1.630 -2.861
N -3.339 0.348 -2.028
N -3.716 -2.740 -1.833
N -6.918 -4.717 -2.667
```

Entry from Alexandria via LeMat-Bulk: a relaxed Mn21Cr2N6 crystal (PBE-GGA).

Computed properties:
space group = Fm-3m
crystal system = cubic

Cell and atoms, written as extended XYZ:
```
29
Lattice="6.367 0.000 3.676 2.122 6.003 3.676 0.000 0.000 7.352" Properties=species:S:1:pos:R:3 pbc="T T T"
Mn 0.000 0.000 0.000
Mn 5.253 3.714 5.607
Mn 5.253 3.714 9.098
Mn 4.245 0.864 7.352
Mn 2.229 3.714 7.352
Mn 3.237 2.289 9.098
Mn 3.237 2.289 5.607
Mn 4.245 5.140 7.352
Mn 6.261 2.289 7.352
Mn 4.255 0.000 4.896
Mn 1.418 4.011 4.896
Mn 0.000 0.000 2.439
Mn 1.418 4.011 2.456
Mn 4.255 0.000 2.456
Mn 0.000 0.000 4.913
Mn 0.704 1.992 1.220
Mn 0.704 1.992 6.133
Mn 4.959 1.992 3.676
Mn 2.113 0.000 6.133
Mn 2.113 0.000 1.220
Mn 3.531 4.011 3.676
Cr 6.367 4.502 11.028
Cr 2.122 1.501 3.676
N 3.283 4.361 5.687
N 5.206 1.642 5.687
N 6.168 4.361 7.352
N 5.206 1.642 9.018
N 3.283 4.361 9.018
N 2.322 1.642 7.352
```

Entry from Alexandria via LeMat-Bulk: a relaxed Mn3Cr3N crystal (PBE-GGA).

Computed properties:
space group = Fd-3m
crystal system = cubic

Cell and atoms, written as extended XYZ:
```
28
Lattice="6.447 0.000 3.722 2.149 6.078 3.722 0.000 0.000 7.444" Properties=species:S:1:pos:R:3 pbc="T T T"
Mn 7.165 5.066 12.410
Mn 3.580 2.532 8.687
Mn 4.298 4.562 7.444
Mn 5.733 2.532 7.444
Mn 6.447 3.036 11.166
Mn 5.012 5.066 11.166
Mn 7.165 5.066 9.923
Mn 3.580 2.532 6.201
Mn 5.372 3.799 9.305
Mn 5.372 3.799 5.583
Mn 4.298 0.760 7.444
Mn 2.149 3.799 7.444
Cr 1.319 2.693 2.285
Cr 1.660 1.174 7.444
Cr 6.936 4.905 7.444
Cr 5.617 1.174 9.729
Cr 5.617 1.174 5.160
Cr 2.979 4.905 9.729
Cr 2.979 0.346 2.285
Cr 0.489 0.346 3.722
Cr 3.809 2.693 3.722
Cr 1.319 2.693 5.160
Cr 2.979 4.905 5.160
Cr 2.979 0.346 5.160
N 1.074 0.760 1.861
N 1.074 0.760 5.583
N 2.149 3.799 3.722
N 4.298 0.760 3.722
```

Entry from Alexandria via LeMat-Bulk: a relaxed Mn2CrN crystal (PBE-GGA).

Computed properties:
space group = I-42d
crystal system = tetragonal

Cell and atoms, written as extended XYZ:
```
8
Lattice="-2.026 4.450 0.277 -3.146 -1.211 -3.552 -5.171 0.271 1.112" Properties=species:S:1:pos:R:3 pbc="T T T"
Cr 0.000 0.000 0.000
Cr -4.891 3.170 -0.124
Mn -2.800 2.364 -0.014
Mn -3.664 0.201 -1.886
Mn -6.054 1.327 -0.661
Mn -8.167 3.128 -1.765
N -2.586 1.619 -1.637
N -5.451 0.340 -2.039
```

Entry from Alexandria via LeMat-Bulk: a relaxed Mn2Cr3N crystal (PBE-GGA).

Computed properties:
space group = P4_132
crystal system = cubic

Cell and atoms, written as extended XYZ:
```
24
Lattice="6.267 0.000 0.000 0.000 6.267 0.000 0.000 0.000 6.267" Properties=species:S:1:pos:R:3 pbc="T T T"
Mn 3.587 2.680 5.814
Mn 4.247 4.247 4.247
Mn 5.814 3.587 2.680
Mn 2.680 5.814 3.587
Mn 1.114 5.153 2.020
Mn 5.153 2.020 1.114
Mn 2.020 1.114 5.153
Mn 0.453 0.453 0.453
Cr 3.917 1.845 3.412
Cr 4.422 0.279 5.483
Cr 3.412 3.917 1.845
Cr 5.988 2.350 4.979
Cr 1.845 3.412 3.917
Cr 2.855 0.783 1.288
Cr 0.279 5.483 4.422
Cr 4.979 5.988 2.350
Cr 1.288 2.855 0.783
Cr 5.483 4.422 0.279
Cr 2.350 4.979 5.988
Cr 0.783 1.288 2.855
N 5.483 0.783 3.917
N 0.783 3.917 5.483
N 3.917 5.483 0.783
N 2.350 2.350 2.350
```

Entry from Alexandria via LeMat-Bulk: a relaxed MnCrN2 crystal (PBE-GGA).

Computed properties:
space group = R-3m
crystal system = trigonal
energy above the lowest structure with this stoichiometry = 0.3535 eV/atom

Cell and atoms, written as extended XYZ:
```
4
Lattice="-1.256 5.557 2.499 1.373 5.843 1.636 -0.725 6.176 -0.161" Properties=species:S:1:pos:R:3 pbc="T T T"
Cr -0.304 8.788 1.987
Mn 0.000 0.000 0.000
N -0.545 15.757 3.563
N -0.063 1.819 0.411
```

no.,ΔE_f (raw) (eV per atom)
1,2.343
2,0.286
3,-0.216
4,-0.378
5,-0.321
6,0.656
7,-0.238
8,-0.053
9,-0.125
10,0.381
11,-0.193
12,-0.025